# Li4Fe3CoO8

A relaxed structure of Li4Fe3CoO8 (PBEsol, Alexandria via LeMat-Bulk).

```
Li4Fe3CoO8
1.0
2.805 1.619 4.648
-2.805 1.619 4.648
0.000 -3.238 4.648
Li Fe Co O
4 3 1 8
direct
0.000 0.000 0.000
0.000 0.500 0.500
0.500 0.000 0.500
0.500 0.500 0.000
0.000 0.000 0.500
0.000 0.500 0.000
0.500 0.000 0.000
0.500 0.500 0.500
0.241 0.740 0.740
0.242 0.242 0.242
0.260 0.260 0.759
0.260 0.759 0.260
0.740 0.241 0.740
0.740 0.740 0.241
0.758 0.758 0.758
0.759 0.260 0.260
```

The density comes out at 5.0 g/cm3. For the uncorrected formation energy, the calculation gives -1.57 eV/atom. As for the space group: R-3m (166). The total energy is -6.851 eV per atom. The value obtained for the density of states at the Fermi level is 0.6085 states/eV per atom.